DFT (PBE-GGA) results for crystalline TbPm3C8 at its relaxed geometry.

**Formation energy**: 0.144 eV per atom

The structure in CIF format:
```
data_TbPm3C8
_chemical_formula_sum 'Tb2 Pm6 C16'
_cell_length_a 7.199
_cell_length_b 7.199
_cell_length_c 7.680
_cell_angle_alpha 90.00
_cell_angle_beta 90.00
_cell_angle_gamma 90.00
_symmetry_space_group_name_H-M 'I -4 2 m'
_symmetry_Int_Tables_number 121
_symmetry_space_group_name_Hall 'I -4 2'
loop_
_atom_site_label
_atom_site_type_symbol
_atom_site_fract_x
_atom_site_fract_y
_atom_site_fract_z
Tb1 Tb 0.000 0.000 0.000
Pm1 Pm 0.000 0.000 0.500
Pm2 Pm 0.000 0.500 0.250
C1 C 0.162 0.162 0.775
C2 C 0.234 0.234 0.370
```